# ZrTlP2

A relaxed structure of ZrTlP2 (PBE-GGA, Alexandria).

Values from the calculation:
energy of formation: -455 meV/atom
E above lowest polymorph: 0.0560 eV/atom
density of states at the Fermi level: 0.50 states/eV/atom

Structure (CIF):
```
data_ZrTlP2
_space_group_name_H-M_alt 'R -3 m'
_space_group_IT_number 166
_space_group_name_Hall '-R 3 2"'
_cell_length_a 3.8125
_cell_length_b 3.8125
_cell_length_c 21.6866
_cell_angle_alpha 90.00
_cell_angle_beta 90.00
_cell_angle_gamma 120.00
loop_
_atom_site_label
_atom_site_type_symbol
_atom_site_fract_x
_atom_site_fract_y
_atom_site_fract_z
Zr1 Zr 0.0000 0.0000 0.0000
Tl1 Tl 0.0000 0.0000 0.5000
P1 P 0.0000 0.0000 0.2648
```